Entry 1:
## BaNaSc2N (PBE)

Data for crystalline BaNaSc2N at its relaxed geometry.

Lattice parameters (Å, degrees): 5.948 5.948 4.562 90.00 90.00 90.00
Space group P4/mmm (No. 123)
Inequivalent atoms, fractional coordinates:
Ba: 0.000 0.000 0.000
Na: 0.500 0.500 0.500
Sc: 0.000 0.500 0.000
N: 0.000 0.000 0.500

Values from the calculation:
The calculation puts the total energy at -17.16 eV for the cell shown.

---

Entry 2:
## Li2CaRu (PBE)

Data for crystalline Li2CaRu at its relaxed geometry.

Lattice parameters (Å, degrees): 9.019 2.843 6.027 90.00 95.90 90.00
Space group Cm (No. 8)
Inequivalent atoms, fractional coordinates:
Li: 0.000 0.000 0.000
Li: 0.247 0.500 0.195
Ca: 0.233 0.000 0.639
Ru: 0.487 0.000 0.389

Values from the calculation:
For the energy above the most stable polymorph in this dataset, the calculation gives 0.0826 eV/atom. Its formation energy from the elements is 0.34 eV per atom.

---

Entry 3:
## Pr2NdRuN4 (PBE)

Data for crystalline Pr2NdRuN4 at its relaxed geometry.

Lattice parameters (Å, degrees): 3.521 12.090 12.219 90.00 90.00 90.00
Space group Cmcm (No. 63)
Inequivalent atoms, fractional coordinates:
Pr: 0.000 0.132 0.043
Nd: 0.000 0.378 0.250
Ru: 0.000 0.351 0.750
N: 0.000 0.070 0.250
N: 0.000 0.227 0.637
N: 0.000 0.500 0.000

Values from the calculation:
The calculation puts the total energy at -252.97 eV for the cell shown.

---

Entry 4:
## Tb3Nd3Ho5 (PBE)

Data for crystalline Tb3Nd3Ho5 at its relaxed geometry.

Lattice parameters (Å, degrees): 11.2055 11.2055 3.4359 90.00 90.00 120.00
Space group P-62m (No. 189)
Inequivalent atoms, fractional coordinates:
Tb: 0.0000 0.5947 0.0000
Nd: 0.0000 0.3396 0.5000
Ho: 0.0000 0.8401 0.5000
Ho: 0.3333 0.6667 0.5000

Values from the calculation:
Its formation energy from the elements is 0.34 eV per atom.

---

Entry 5:
## Cs2InHg3Bi4 (PBE)

Data for crystalline Cs2InHg3Bi4 at its relaxed geometry.

Lattice parameters (Å, degrees): 5.462 5.462 12.192 90.00 90.00 90.00
Space group P-4m2 (No. 115)
Inequivalent atoms, fractional coordinates:
Cs: 0.000 0.500 0.249
In: 0.500 0.500 0.000
Hg: 0.000 0.000 0.000
Hg: 0.000 0.500 0.625
Bi: 0.000 0.000 0.500
Bi: 0.000 0.500 0.874
Bi: 0.500 0.500 0.500

Values from the calculation:
Its formation energy from the elements is -0.18 eV per atom.

---

Entry 6:
## Ba6Cd2Hg (PBE)

Data for crystalline Ba6Cd2Hg at its relaxed geometry.

Lattice parameters (Å, degrees): 11.803 11.869 11.900 90.00 90.00 90.00
Space group Immm (No. 71)
Inequivalent atoms, fractional coordinates:
Ba: 0.000 0.208 0.168
Ba: 0.171 0.246 0.500
Ba: 0.189 0.500 0.242
Cd: 0.000 0.000 0.379
Cd: 0.146 0.000 0.000
Hg: 0.000 0.500 0.000
Hg: 0.000 0.500 0.500

Values from the calculation:
Its formation energy from the elements is -0.22 eV per atom.

---

Entry 7:
## TaCoSb2 (PBE)

Data for crystalline TaCoSb2 at its relaxed geometry.

Lattice parameters (Å, degrees): 3.765 4.036 5.424 90.00 110.23 90.00
Space group Pm (No. 6)
Inequivalent atoms, fractional coordinates:
Ta: 0.000 0.000 0.000
Co: 0.150 0.500 0.300
Sb: 0.412 0.500 0.824
Sb: 0.710 0.000 0.422

Values from the calculation:
The calculation puts the total energy at -27.11 eV for the cell shown.

---

Entry 8:
## Pm2ScPtO6 (PBE)

Data for crystalline Pm2ScPtO6 at its relaxed geometry.

Lattice parameters (Å, degrees): 10.366 5.574 5.548 90.00 122.22 90.00
Space group C2 (No. 5)
Inequivalent atoms, fractional coordinates:
Pm: 0.248 0.000 0.222
Sc: 0.000 0.022 0.500
Pt: 0.000 0.520 0.000
O: 0.076 0.763 0.821
O: 0.077 0.270 0.840
O: 0.225 0.073 0.602

Values from the calculation:
The calculation puts the total energy at -155.47 eV for the cell shown.